1.
Density functional theory data (GGA-PBE) for crystalline TiH2Br at its relaxed geometry.

Properties
For the energy above the most stable polymorph in this dataset, the calculation gives 0 meV per atom. The total energy is -0.308 Ry/atom.

Cell lengths 6.7801, 6.7801, 6.7801 Å; angles 145.31, 145.31, 49.88 degrees
Fractional positions:
Ti  0.3750  0.6250  0.7500
Ti  0.6250  0.3750  0.2500
H  0.0000  0.5000  0.5000
H  0.5000  0.0000  0.0000
H  0.5000  0.5000  0.0000
H  0.5000  0.5000  0.5000
Br  0.1250  0.8750  0.2500
Br  0.8750  0.1250  0.7500



2.
Density functional theory data (GGA-PBE) for crystalline TiH2Br6 at its relaxed geometry.

Properties
The total energy is -0.258 Ry/atom.

Cell lengths 11.8372, 11.8372, 5.9070 Å; angles 104.34, 104.34, 64.08 degrees
Fractional positions:
Ti  0.2486  0.7514  0.7500
Ti  0.7514  0.2486  0.2500
H  0.2274  0.2757  0.6234
H  0.2757  0.2274  0.1234
H  0.7243  0.7726  0.8766
H  0.7726  0.7243  0.3766
Br  0.0700  0.7887  0.9058
Br  0.1538  0.3491  0.8158
Br  0.2113  0.9300  0.5942
Br  0.2864  0.5731  0.4531
Br  0.3491  0.1538  0.3158
Br  0.4269  0.7136  0.0469
Br  0.5731  0.2864  0.9531
Br  0.6509  0.8462  0.6842
Br  0.7136  0.4269  0.5469
Br  0.7887  0.0700  0.4058
Br  0.8462  0.6509  0.1842
Br  0.9300  0.2113  0.0942



3.
Density functional theory data (GGA-PBE) for crystalline Ti3HBr at its relaxed geometry.

Properties
The total energy is -0.414 Ry/atom.

Cell lengths 4.1189, 4.1189, 4.1189 Å; angles 90.00, 90.00, 90.00 degrees
Fractional positions:
Ti  0.0000  0.0000  0.5000
Ti  0.0000  0.5000  0.0000
Ti  0.5000  0.0000  0.0000
H  0.0000  0.0000  0.0000
Br  0.5000  0.5000  0.5000



What did the third record say?
Density functional theory data (GGA-PBE) for crystalline Ti3HBr at its relaxed geometry.

Properties
The total energy is -0.414 Ry/atom.

Cell lengths 4.1189, 4.1189, 4.1189 Å; angles 90.00, 90.00, 90.00 degrees
Fractional positions:
Ti  0.0000  0.0000  0.5000
Ti  0.0000  0.5000  0.0000
Ti  0.5000  0.0000  0.0000
H  0.0000  0.0000  0.0000
Br  0.5000  0.5000  0.5000